A relaxed structure of Li4PuGe4, computed with PBE-GGA.

The structure in POSCAR format:
```
Li4PuGe4
1.0
-4.966 3.444 -0.976
-1.478 -3.493 -4.806
-4.619 -5.189 5.191
Li Pu Ge
8 2 8
Cartesian
-2.273 -3.029 0.877
-6.407 -0.515 2.344
-2.984 -4.710 -1.435
-4.025 -1.402 -3.667
-4.017 -2.172 2.814
-8.710 -3.848 1.575
-3.258 0.411 -1.173
-6.133 -5.635 2.082
0.000 0.000 0.000
-5.531 -2.619 -0.296
-2.720 -2.128 -1.517
-2.812 -0.491 1.221
-3.712 -4.712 2.260
-4.841 0.917 0.822
-5.657 -0.091 -2.094
-6.438 -3.095 2.635
-4.316 -6.140 0.296
-7.312 -5.160 -0.207
```

Output
* uncorrected energy: -4.74 eV per atom
* V: 325.0 Å³ per cell
* formation energy: -0.242 eV/atom

A relaxed structure of LiPuGe2, computed with PBE-GGA.

The structure in POSCAR format:
```
LiPuGe2
1.0
3.328 0.000 0.000
0.000 3.328 0.000
0.000 0.000 6.729
Li Ge Pu
1 2 1
Cartesian
1.664 1.664 0.000
0.000 0.000 5.372
0.000 0.000 1.358
1.664 1.664 3.365
```

Output
* uncorrected energy: -6.69 eV per atom
* V: 74.5 Å³ per cell
* formation energy: -0.325 eV/atom
* excess energy over the best structure of this formula in the dataset: 2.46 kcal/mol of atoms

A relaxed structure of LiPuGe2, computed with PBE-GGA.

The structure in POSCAR format:
```
LiPuGe2
1.0
3.904 0.000 0.000
0.000 7.856 0.000
0.000 0.000 10.425
Pu Ge Li
4 8 4
Cartesian
0.976 4.969 6.633
0.976 1.041 9.004
2.928 6.815 1.421
2.928 2.887 3.792
2.928 2.072 0.634
2.928 6.000 4.578
0.976 5.784 9.791
0.976 1.856 5.847
2.928 2.716 7.198
0.976 5.140 3.228
0.976 1.212 1.985
2.928 6.645 8.440
2.928 4.050 9.354
0.976 3.806 1.071
2.928 0.122 6.283
0.976 7.734 4.142
```

Output
* uncorrected energy: -6.80 eV per atom
* V: 319.8 Å³ per cell
* formation energy: -0.432 eV/atom
* excess energy over the best structure of this formula in the dataset: 0.00 kcal/mol of atoms

A relaxed structure of LiPu3Ge3, computed with PBE-GGA.

The structure in POSCAR format:
```
LiPu3Ge3
1.0
4.347 0.000 0.655
2.139 5.327 0.559
0.212 0.135 13.349
Ge Li Pu
6 2 6
Cartesian
6.028 4.664 4.256
0.670 0.798 10.307
2.495 4.595 12.947
5.416 3.801 8.316
4.202 0.867 1.616
1.282 1.661 6.247
3.158 4.972 8.551
3.540 0.489 6.012
4.968 3.917 11.290
4.154 3.887 1.934
3.581 3.663 5.738
3.116 1.799 8.825
2.543 1.574 12.629
1.730 1.544 3.273
```

Output
* uncorrected energy: -8.80 eV per atom
* V: 308.2 Å³ per cell
* formation energy: -0.401 eV/atom

A relaxed structure of LiPu2Ge3, computed with PBE-GGA.

The structure in POSCAR format:
```
LiPu2Ge3
1.0
-1.572 2.946 -2.077
-3.506 -0.124 2.478
3.096 4.913 4.626
Li Pu Ge
1 2 3
Cartesian
-1.526 3.018 1.714
1.303 4.788 5.805
1.588 2.520 2.372
-0.514 4.625 3.227
1.818 5.605 2.852
-0.235 2.347 -0.216
```

Output
* uncorrected energy: -7.72 eV per atom
* V: 125.4 Å³ per cell
* formation energy: -0.319 eV/atom
* excess energy over the best structure of this formula in the dataset: 1.40 kcal/mol of atoms

A relaxed structure of Li3PuGe3, computed with PBE-GGA.

The structure in POSCAR format:
```
Li3PuGe3
1.0
-3.793 5.434 -0.411
-4.960 -3.235 3.003
2.257 2.022 5.907
Li Pu Ge
6 2 6
Cartesian
-0.111 0.202 3.704
-5.324 2.458 1.193
-3.428 -0.259 1.399
-2.591 -1.415 5.205
-0.203 4.233 4.225
-1.332 3.222 1.271
-3.247 2.110 4.249
0.000 0.000 0.000
-1.915 -1.112 2.978
-1.716 5.086 2.646
-3.136 1.908 0.545
-5.616 0.291 2.047
-0.787 -0.101 5.932
0.180 2.369 2.851
```

Output
* uncorrected energy: -4.58 eV per atom
* V: 292.6 Å³ per cell
* formation energy: 0.269 eV/atom

A relaxed structure of Li2PuGe, computed with PBE-GGA.

The structure in POSCAR format:
```
Li2PuGe
1.0
-1.607 -0.431 -2.396
-0.396 -2.703 -1.024
-9.443 -2.057 4.930
Li Pu Ge
2 1 1
Cartesian
-4.569 -3.430 -1.645
-6.877 -1.761 3.155
0.000 0.000 0.000
-5.723 -2.596 0.755
```

Output
* uncorrected energy: -5.52 eV per atom
* V: 79.0 Å³ per cell
* formation energy: 0.171 eV/atom

A relaxed structure of Li4Pu3Ge4, computed with PBE-GGA.

The structure in POSCAR format:
```
Li4Pu3Ge4
1.0
4.428 0.000 0.000
0.000 6.718 0.000
-2.214 -3.359 7.120
Pu Ge Li
3 4 4
Cartesian
2.214 3.359 5.354
0.000 3.359 0.000
0.000 0.000 1.765
2.214 5.413 0.000
2.214 0.000 4.101
2.214 1.304 0.000
0.000 3.359 3.019
0.000 -1.282 4.655
2.214 4.640 2.465
2.214 2.077 2.465
0.000 1.282 4.655
```

Output
* uncorrected energy: -6.66 eV per atom
* V: 211.8 Å³ per cell
* formation energy: -0.373 eV/atom

A relaxed structure of LiPu5Ge5, computed with PBE-GGA.

The structure in POSCAR format:
```
LiPu5Ge5
1.0
5.339 0.000 0.000
-2.670 8.121 0.233
0.000 -2.469 5.611
Ge Li Pu
5 1 5
Cartesian
2.670 5.402 0.468
0.000 0.251 5.376
2.670 3.988 3.674
2.670 0.000 0.000
0.000 1.665 2.170
0.000 0.000 0.000
2.670 0.726 3.673
2.670 2.589 1.143
0.000 3.063 4.701
0.000 -1.234 2.805
0.000 4.926 2.171
```

Output
* uncorrected energy: -9.02 eV per atom
* V: 246.4 Å³ per cell
* formation energy: -0.237 eV/atom

A relaxed structure of LiPu2Ge3, computed with PBE-GGA.

The structure in POSCAR format:
```
LiPu2Ge3
1.0
5.565 0.579 -1.456
-1.654 5.345 -1.456
-0.396 -0.600 8.357
Ge Pu Li
6 4 2
Cartesian
3.059 0.801 5.739
-0.465 3.128 5.739
3.980 2.196 -0.294
0.456 4.523 -0.294
2.988 4.527 3.116
0.526 0.797 2.330
2.962 4.487 -2.205
-0.047 3.854 2.723
3.562 1.471 2.723
0.949 1.437 -0.706
2.476 3.750 0.848
1.039 1.574 4.598
```

Output
* uncorrected energy: -7.78 eV per atom
* V: 247.5 Å³ per cell
* formation energy: -0.380 eV/atom
* excess energy over the best structure of this formula in the dataset: 0.00 kcal/mol of atoms

A relaxed structure of Li2Pu2Ge, computed with PBE-GGA.

The structure in POSCAR format:
```
Li2Pu2Ge
1.0
3.677 0.000 0.000
0.000 3.677 0.000
-1.839 -1.839 8.914
Ge Li Pu
1 2 2
Cartesian
0.000 0.000 0.000
1.839 0.000 4.457
0.000 1.839 4.457
0.000 0.000 7.387
1.839 1.839 1.527
```

Output
* uncorrected energy: -7.37 eV per atom
* V: 120.5 Å³ per cell
* formation energy: 0.054 eV/atom

A relaxed structure of Li2PuGe, computed with PBE-GGA.

The structure in POSCAR format:
```
Li2PuGe
1.0
4.644 0.000 0.000
2.322 4.022 0.000
2.322 1.341 3.792
Ge Li Pu
1 2 1
Cartesian
0.000 0.000 0.000
6.966 4.022 2.844
2.322 1.341 0.948
4.644 2.681 1.896
```

Output
* uncorrected energy: -5.85 eV per atom
* V: 70.8 Å³ per cell
* formation energy: -0.161 eV/atom

A relaxed structure of LiPuGe2, computed with PBE-GGA.

The structure in POSCAR format:
```
LiPuGe2
1.0
4.136 0.000 0.000
0.000 4.336 0.000
0.000 0.000 4.336
Li Pu Ge
1 1 2
Cartesian
2.068 0.000 0.000
2.068 2.168 2.168
0.000 0.000 2.168
0.000 2.168 0.000
```

Output
* uncorrected energy: -6.72 eV per atom
* V: 77.8 Å³ per cell
* formation energy: -0.352 eV/atom
* excess energy over the best structure of this formula in the dataset: 1.84 kcal/mol of atoms

A relaxed structure of Li2Pu3Ge4, computed with PBE-GGA.

The structure in POSCAR format:
```
Li2Pu3Ge4
1.0
4.462 0.000 0.000
-2.231 5.188 -0.443
0.000 -2.537 8.079
Pu Ge Li
3 4 2
Cartesian
0.000 2.742 2.334
2.231 -0.091 5.302
0.000 0.000 0.000
0.000 0.651 7.439
2.231 2.923 4.446
2.231 2.000 0.196
0.000 -0.272 3.190
0.000 2.004 5.281
2.231 0.647 2.355
```

Output
* uncorrected energy: -7.64 eV per atom
* V: 182.0 Å³ per cell
* formation energy: -0.383 eV/atom

A relaxed structure of LiPuGe4Rh2, computed with PBE-GGA.

The structure in POSCAR format:
```
LiPuGe4Rh2
1.0
4.297 0.000 0.000
2.149 3.721 0.000
2.149 1.240 8.306
Ge Li Rh Pu
4 1 2 1
Cartesian
4.297 2.481 6.787
2.149 1.240 5.132
6.446 3.721 3.174
4.297 2.481 1.519
4.297 2.481 4.153
6.446 3.721 5.774
2.149 1.240 2.532
0.000 0.000 0.000
```

Output
* uncorrected energy: -6.66 eV per atom
* V: 132.8 Å³ per cell
* formation energy: -0.481 eV/atom

A relaxed structure of LiPu2Ge4Rh3, computed with PBE-GGA.

The structure in POSCAR format:
```
LiPu2Ge4Rh3
1.0
-1.304 -0.515 4.068
3.956 -1.281 1.106
2.466 9.320 1.972
Ge Rh Pu Li
4 3 2 1
Cartesian
0.000 0.000 0.000
2.894 2.822 1.285
0.898 5.600 3.273
1.326 -0.898 2.587
1.233 4.660 0.986
1.504 7.890 3.758
2.288 0.532 0.801
3.825 6.340 2.030
-0.033 2.082 2.529
2.559 3.762 3.573
```

Output
* uncorrected energy: -7.67 eV per atom
* V: 182.2 Å³ per cell
* formation energy: -0.563 eV/atom

A relaxed structure of LiPu2GeS5, computed with PBE-GGA.

The structure in POSCAR format:
```
LiPu2GeS5
1.0
-3.097 2.053 -1.381
-3.609 -5.937 4.956
0.666 6.851 8.693
Pu S Li Ge
4 10 2 2
Cartesian
-4.794 2.949 9.446
-1.171 0.788 3.799
-0.812 3.440 6.935
-5.325 -1.464 4.075
-3.016 -0.684 5.748
-5.863 0.417 8.080
-3.067 3.295 11.777
-4.636 0.418 11.017
-2.888 5.048 8.292
-0.426 -0.015 0.933
-1.368 2.921 1.723
-2.641 3.094 4.832
-2.571 1.724 8.329
-3.574 0.161 2.566
-4.125 1.802 6.242
-2.222 -1.994 2.017
-1.592 6.941 8.199
-4.172 -1.125 7.682
```

Output
* uncorrected energy: -7.38 eV per atom
* V: 364.8 Å³ per cell
* formation energy from raw total energies: -1.178 eV/atom

A relaxed structure of Li2PuGeS4, computed with PBE-GGA.

The structure in POSCAR format:
```
Li2PuGeS4
1.0
3.880 0.000 0.000
0.000 6.420 -0.030
0.000 2.362 6.341
S Ge Pu Li
4 1 1 2
Cartesian
1.940 5.388 1.556
1.940 3.395 4.755
0.000 6.539 4.717
3.880 2.243 1.594
1.940 3.210 -0.015
0.000 4.391 3.156
1.940 1.181 3.171
0.000 2.362 6.341
```

Output
* uncorrected energy: -5.99 eV per atom
* V: 158.3 Å³ per cell
* formation energy from raw total energies: -1.079 eV/atom

A relaxed structure of Li2PuGeSe4, computed with PBE-GGA.

The structure in POSCAR format:
```
Li2PuGeSe4
1.0
-4.002 0.476 0.328
0.309 -1.864 6.478
1.007 5.653 4.093
Li Se Ge Pu
2 4 1 1
Cartesian
-1.497 3.065 2.210
1.007 5.653 4.093
-1.521 0.228 6.038
0.986 2.845 7.906
-1.164 4.037 4.861
-3.671 1.420 2.993
-1.846 -0.694 3.403
0.658 1.895 5.286
```

Output
* uncorrected energy: -5.57 eV per atom
* V: 180.8 Å³ per cell
* formation energy from raw total energies: -0.983 eV/atom

A relaxed structure of Li2TbPuGe2, computed with PBE-GGA.

The structure in POSCAR format:
```
Li2TbPuGe2
1.0
-1.353 2.561 3.378
-2.624 -3.262 -1.508
2.998 -4.568 4.664
Tb Ge Pu Li
1 2 1 2
Cartesian
1.499 -2.284 2.332
0.487 -2.829 5.270
-1.465 -2.440 1.263
0.000 0.000 0.000
0.042 -4.737 3.608
-1.021 -0.532 2.925
```

Output
* uncorrected energy: -5.82 eV per atom
* V: 123.2 Å³ per cell
* formation energy: -0.481 eV/atom